Th6SnOs2Se3: relaxed, PBE.

Cell lengths 9.652, 9.652, 8.827 Å; angles 104.88, 104.88, 25.23 degrees
Element x y z (fractional)
Th (0.015, 0.015, 0.268)
Th (0.325, 0.325, 0.432)
Th (0.327, 0.327, 0.879)
Th (0.673, 0.673, 0.121)
Th (0.675, 0.675, 0.568)
Th (0.985, 0.985, 0.732)
Sn (0.500, 0.500, 0.000)
Os (0.170, 0.170, 0.339)
Os (0.830, 0.830, 0.661)
Se (0.158, 0.158, 0.840)
Se (0.500, 0.500, 0.500)
Se (0.842, 0.842, 0.160)

Values from the calculation:
E   -93.41 eV for the cell shown
Energy relative to the elements, uncorrected   -1155 kJ/mol of formula units
SG   C2/m, No. 12
Total magnetic moment   0.000 μB per atom

MgSc4Au: relaxed, PBE.

Cell lengths 5.782, 5.782, 5.782 Å; angles 60.00, 60.00, 60.00 degrees
Element x y z (fractional)
Mg (0.000, 0.000, 0.000)
Sc (0.125, 0.625, 0.625)
Sc (0.625, 0.125, 0.625)
Sc (0.625, 0.625, 0.125)
Sc (0.625, 0.625, 0.625)
Au (0.250, 0.250, 0.250)

Values from the calculation:
DFT formation energy   165 meV/atom
E   -29.21 eV for the cell shown
SG   F-43m, No. 216
Total magnetic moment   0.000 μB per atom